Compound: IBrO3
Source: Alexandria via LeMat-Bulk
Functional: PBE-GGA
Structure: relaxed

* total magnetization: 0.0000 μB per atom
* space group: Pm-3m (221)
* E_tot: -2.700 eV per atom
* E_form (uncorrected): 0.92 eV per atom

Cell lengths 4.1145, 4.1145, 4.1145 Å; angles 90.00, 90.00, 90.00 degrees
Atoms (fractional coordinates):
O 0.5000 0.0000 0.0000
Br 0.0000 0.0000 0.0000
O 0.0000 0.5000 0.0000
O 0.0000 0.0000 0.5000
I 0.5000 0.5000 0.5000